! MnHF5 PBE with a Hubbard U optimized geometry; values from VASP
&SYSTEM
  ibrav = 0, nat = 14, ntyp = 3
/
ATOMIC_SPECIES
Mn 54.94 Mn.upf
H 1.01 H.upf
F 19.00 F.upf
CELL_PARAMETERS angstrom
5.2073 0.3162 1.5822
1.1732 5.0833 1.5822
0.5534 0.4683 7.0665
ATOMIC_POSITIONS crystal
Mn 0.9973 0.9971 0.9992
Mn 0.9971 0.9973 0.4992
H 0.7021 0.2923 0.2493
H 0.2923 0.7021 0.7493
F 0.8840 0.1103 0.7492
F 0.1103 0.8840 0.2492
F 0.8222 0.7339 0.6404
F 0.2608 0.1721 0.8578
F 0.2376 0.6798 0.9269
F 0.3143 0.7574 0.5713
F 0.7574 0.3143 0.0713
F 0.6798 0.2376 0.4269
F 0.7339 0.8222 0.1404
F 0.1721 0.2608 0.3578
! SG	C2/c, No. 15
! uncorrected energy	-66.7	eV/cell
! calculated density	2.8	g/cm3
! volume	12.66	Å³ per atom
! size of the total moment	3.0	μB/f.u.